No. 1
The following is a DFT calculation (GGA-PBE) of K2HoB2S6 after structural relaxation.

a b c (Å): 6.6470 6.6470 8.2850
angles (deg): 114.50 114.50 59.36
Fractional coordinates of all 11 atoms:
K 0.2023 0.2023 0.1868
K 0.7977 0.7977 0.8132
Ho 0.0000 0.0000 0.5000
B 0.4362 0.4362 0.7204
B 0.5638 0.5638 0.2796
S 0.2349 0.7027 0.2292
S 0.2631 0.2631 0.6499
S 0.2973 0.7651 0.7708
S 0.7027 0.2349 0.2292
S 0.7369 0.7369 0.3501
S 0.7651 0.2973 0.7708

* ΔE_f (raw): -1023 kJ/mol of formula units
* total moment: 0.0 μB/f.u.
* calculated volume: 25.16 A^3/atom
* calculated total energy: -5.0452 eV/atom

---

No. 2
The following is a DFT calculation (GGA-PBE) of YNF after structural relaxation.

a b c (Å): 6.0931 6.0931 3.5606
angles (deg): 90.00 90.00 120.00
Fractional coordinates of all 9 atoms:
Y 0.0000 0.0000 0.0000
Y 0.3333 0.6667 0.5000
Y 0.6667 0.3333 0.5000
N 0.0000 0.4216 0.0000
N 0.4216 0.0000 0.0000
N 0.5784 0.5784 0.0000
F 0.0000 0.7609 0.5000
F 0.2391 0.2391 0.5000
F 0.7609 0.0000 0.5000

* ΔE_f (raw): -572 kJ/mol of formula units
* total moment: 1.0 μB/f.u.
* calculated volume: 12.72 A^3/atom
* calculated total energy: -7.5291 eV/atom

---

No. 3
The following is a DFT calculation (GGA-PBE) of B5C after structural relaxation.

a b c (Å): 2.7205 2.7205 18.2121
angles (deg): 90.00 90.00 120.00
Fractional coordinates of all 12 atoms:
B 0.0000 0.0000 0.1774
B 0.0000 0.0000 0.8226
B 0.3333 0.6667 0.2700
B 0.3333 0.6667 0.5000
B 0.3333 0.6667 0.8793
B 0.3333 0.6667 0.9713
B 0.6667 0.3333 0.0287
B 0.6667 0.3333 0.1207
B 0.6667 0.3333 0.5000
B 0.6667 0.3333 0.7300
C 0.0000 0.0000 0.2635
C 0.0000 0.0000 0.7365

* total moment: 0.0 μB/f.u.
* energy above the lowest structure with this stoichiometry: 0.416 eV/atom
* calculated volume: 9.73 A^3/atom
* calculated total energy: -6.4887 eV/atom
* formation energy from the elements: 613 meV per atom

---

No. 4
The following is a DFT calculation (GGA-PBE) of HoEr5Cd6 after structural relaxation.

a b c (Å): 5.2429 7.4374 8.3056
angles (deg): 90.00 108.25 90.00
Fractional coordinates of all 12 atoms:
Ho 0.0000 0.0000 0.0000
Er 0.0000 0.5000 0.0000
Er 0.3330 0.0000 0.6659
Er 0.3337 0.5000 0.6673
Er 0.6663 0.5000 0.3327
Er 0.6670 0.0000 0.3341
Cd 0.1669 0.2508 0.3339
Cd 0.1669 0.7492 0.3339
Cd 0.5000 0.2501 0.0000
Cd 0.5000 0.7499 0.0000
Cd 0.8331 0.2508 0.6661
Cd 0.8331 0.7492 0.6661

* total moment: 0.0 μB/f.u.
* calculated volume: 25.63 A^3/atom
* calculated total energy: -3.0574 eV/atom
* formation energy from the elements: -317 meV per atom

---

No. 5
The following is a DFT calculation (GGA-PBE) of Sr4HPb after structural relaxation.

a b c (Å): 9.7848 9.7848 7.1521
angles (deg): 107.54 107.54 121.12
Fractional coordinates of all 12 atoms:
Sr 0.0658 0.6335 0.8552
Sr 0.1954 0.2852 0.6801
Sr 0.2852 0.1954 0.1801
Sr 0.3665 0.9342 0.6448
Sr 0.6335 0.0658 0.3552
Sr 0.7148 0.8046 0.8199
Sr 0.8046 0.7148 0.3199
Sr 0.9342 0.3665 0.1448
H 0.9997 0.0003 0.2500
H 0.0003 0.9997 0.7500
Pb 0.3822 0.6178 0.2500
Pb 0.6178 0.3822 0.7500

* total moment: 0.1 μB/f.u.
* calculated volume: 38.58 A^3/atom
* calculated total energy: -2.5683 eV/atom

---

No. 6
The following is a DFT calculation (GGA-PBE) of RbNiBi2Sb after structural relaxation.

a b c (Å): 5.4449 5.4449 5.1308
angles (deg): 90.00 90.00 90.00
Fractional coordinates of all 5 atoms:
Rb 0.0000 0.0000 0.0000
Ni 0.5000 0.5000 0.5000
Bi 0.0000 0.5000 0.5000
Bi 0.5000 0.0000 0.5000
Sb 0.5000 0.5000 0.0000

* ΔE_f (raw): 39 kJ/mol of formula units
* total moment: 0.0 μB/f.u.
* calculated volume: 30.42 A^3/atom
* calculated total energy: -3.6460 eV/atom

---

No. 7
The following is a DFT calculation (GGA-PBE) of RbPuAuBr6 after structural relaxation.

a b c (Å): 7.2494 7.2494 15.6248
angles (deg): 90.00 90.00 120.00
Fractional coordinates of all 18 atoms:
Rb 0.0000 0.0000 0.0000
Rb 0.0000 0.0000 0.5000
Pu 0.3333 0.6667 0.2500
Pu 0.6667 0.3333 0.7500
Au 0.3333 0.6667 0.7500
Au 0.6667 0.3333 0.2500
Br 0.0045 0.3678 0.1449
Br 0.0045 0.6367 0.3551
Br 0.3633 0.3678 0.3551
Br 0.3633 0.9955 0.1449
Br 0.3678 0.0045 0.6449
Br 0.3678 0.3633 0.8551
Br 0.6322 0.6367 0.1449
Br 0.6322 0.9955 0.3551
Br 0.6367 0.0045 0.8551
Br 0.6367 0.6322 0.6449
Br 0.9955 0.3633 0.6449
Br 0.9955 0.6322 0.8551

* ΔE_f (raw): -936 kJ/mol of formula units
* total moment: 4.0 μB/f.u.
* calculated volume: 39.51 A^3/atom
* calculated total energy: -4.2577 eV/atom

---

No. 8
The following is a DFT calculation (GGA-PBE) of K2Tl3Hg9 after structural relaxation.

a b c (Å): 9.5577 9.5577 10.9130
angles (deg): 90.00 90.00 58.90
Fractional coordinates of all 28 atoms:
K 0.0082 0.6751 0.7500
K 0.3249 0.9918 0.7500
K 0.6751 0.0082 0.2500
K 0.9918 0.3249 0.2500
Tl 0.0000 0.0000 0.0000
Tl 0.0000 0.0000 0.5000
Tl 0.3101 0.3101 0.0000
Tl 0.3101 0.3101 0.5000
Tl 0.6899 0.6899 0.0000
Tl 0.6899 0.6899 0.5000
Hg 0.0175 0.6581 0.0957
Hg 0.0175 0.6581 0.4043
Hg 0.1651 0.8349 0.2500
Hg 0.3389 0.6611 0.5511
Hg 0.3389 0.6611 0.9489
Hg 0.3419 0.9825 0.0957
Hg 0.3419 0.9825 0.4043
Hg 0.3696 0.4376 0.2500
Hg 0.4376 0.3696 0.7500
Hg 0.5624 0.6304 0.2500
Hg 0.6304 0.5624 0.7500
Hg 0.6581 0.0175 0.5957
Hg 0.6581 0.0175 0.9043
Hg 0.6611 0.3389 0.0511
Hg 0.6611 0.3389 0.4489
Hg 0.8349 0.1651 0.7500
Hg 0.9825 0.3419 0.5957
Hg 0.9825 0.3419 0.9043

* total moment: 0.0 μB/f.u.
* calculated volume: 30.49 A^3/atom
* calculated total energy: -0.9703 eV/atom
* formation energy from the elements: -112 meV per atom

---

No. 9
The following is a DFT calculation (GGA-PBE) of Pr2AgBi6 after structural relaxation.

a b c (Å): 4.3009 9.4165 9.4165
angles (deg): 130.87 90.00 90.00
Fractional coordinates of all 9 atoms:
Pr 0.0000 0.1545 0.8455
Pr 0.0000 0.8455 0.1545
Ag 0.5000 0.4510 0.4510
Bi 0.0000 0.3095 0.5932
Bi 0.0000 0.5932 0.3095
Bi 0.0000 0.7419 0.7419
Bi 0.5000 0.0629 0.0629
Bi 0.5000 0.4888 0.9779
Bi 0.5000 0.9779 0.4888

* total moment: 0.0 μB/f.u.
* calculated volume: 32.04 A^3/atom
* calculated total energy: -4.2869 eV/atom
* formation energy from the elements: -321 meV per atom

---

No. 10
The following is a DFT calculation (GGA-PBE) of Ta4Ni2N after structural relaxation.

a b c (Å): 8.2123 8.2123 8.2123
angles (deg): 60.00 60.00 60.00
Fractional coordinates of all 28 atoms:
Ta 0.0000 0.0000 0.0000
Ta 0.0000 0.0000 0.5000
Ta 0.0000 0.5000 0.0000
Ta 0.1914 0.1914 0.5586
Ta 0.1914 0.5586 0.1914
Ta 0.1914 0.5586 0.5586
Ta 0.4414 0.4414 0.8086
Ta 0.4414 0.8086 0.4414
Ta 0.4414 0.8086 0.8086
Ta 0.5000 0.0000 0.0000
Ta 0.5586 0.1914 0.1914
Ta 0.5586 0.1914 0.5586
Ta 0.5586 0.5586 0.1914
Ta 0.8086 0.4414 0.4414
Ta 0.8086 0.4414 0.8086
Ta 0.8086 0.8086 0.4414
Ni 0.1166 0.7945 0.7945
Ni 0.2055 0.2055 0.2055
Ni 0.2055 0.2055 0.8834
Ni 0.2055 0.8834 0.2055
Ni 0.7945 0.1166 0.7945
Ni 0.7945 0.7945 0.1166
Ni 0.7945 0.7945 0.7945
Ni 0.8834 0.2055 0.2055
N 0.0000 0.5000 0.5000
N 0.5000 0.0000 0.5000
N 0.5000 0.5000 0.0000
N 0.5000 0.5000 0.5000

* ΔE_f (raw): -422 kJ/mol of formula units
* total moment: 0.0 μB/f.u.
* calculated volume: 13.99 A^3/atom
* calculated total energy: -10.2388 eV/atom

---

No. 11
The following is a DFT calculation (GGA-PBE) of RbHCl2 after structural relaxation.

a b c (Å): 6.7768 6.7768 6.7768
angles (deg): 45.21 45.21 45.21
Fractional coordinates of all 4 atoms:
Rb 0.0000 0.0000 0.0000
H 0.5000 0.5000 0.5000
Cl 0.4145 0.4145 0.4145
Cl 0.5855 0.5855 0.5855

* total moment: 0.0 μB/f.u.
* energy above the lowest structure with this stoichiometry: 0.000 eV/atom
* calculated volume: 35.68 A^3/atom
* calculated total energy: -3.2678 eV/atom

---

No. 12
The following is a DFT calculation (GGA-PBE) of Na3Tl3PS8 after structural relaxation.

a b c (Å): 7.7748 7.7748 8.1692
angles (deg): 118.49 118.49 59.77
Fractional coordinates of all 15 atoms:
Na 0.0000 0.0000 0.0000
Na 0.0000 0.5000 0.0000
Na 0.5000 0.0000 0.0000
Tl 0.0000 0.5000 0.5000
Tl 0.5000 0.0000 0.5000
Tl 0.5000 0.5000 0.5000
P 0.0000 0.0000 0.5000
S 0.2051 0.2051 0.7030
S 0.2059 0.7925 0.7034
S 0.2075 0.7941 0.2966
S 0.2563 0.2563 0.2692
S 0.7437 0.7437 0.7308
S 0.7925 0.2059 0.7034
S 0.7941 0.2075 0.2966
S 0.7949 0.7949 0.2970

* ΔE_f (raw): -519 kJ/mol of formula units
* total moment: 0.0 μB/f.u.
* calculated volume: 23.75 A^3/atom
* calculated total energy: -3.6574 eV/atom

---

No. 13
The following is a DFT calculation (GGA-PBE) of Cd2In6Hg3 after structural relaxation.

a b c (Å): 29.2766 29.2766 29.2766
angles (deg): 6.59 6.59 6.59
Fractional coordinates of all 11 atoms:
Cd 0.0455 0.0455 0.0455
Cd 0.9545 0.9545 0.9545
In 0.1359 0.1359 0.1359
In 0.3178 0.3178 0.3178
In 0.4085 0.4085 0.4085
In 0.5915 0.5915 0.5915
In 0.6822 0.6822 0.6822
In 0.8641 0.8641 0.8641
Hg 0.2276 0.2276 0.2276
Hg 0.5000 0.5000 0.5000
Hg 0.7724 0.7724 0.7724

* total moment: 0.0 μB/f.u.
* energy above the lowest structure with this stoichiometry: 0.000 eV/atom
* calculated volume: 26.05 A^3/atom
* calculated total energy: -1.7179 eV/atom
* formation energy from the elements: 24 meV per atom

---

No. 14
The following is a DFT calculation (GGA-PBE) of AlAgSb2Te after structural relaxation.

a b c (Å): 5.2591 5.2591 5.3976
angles (deg): 90.00 90.00 90.00
Fractional coordinates of all 5 atoms:
Al 0.0000 0.0000 0.0000
Ag 0.5000 0.5000 0.5000
Sb 0.0000 0.5000 0.0000
Sb 0.5000 0.0000 0.0000
Te 0.0000 0.0000 0.5000

* ΔE_f (raw): 277 kJ/mol of formula units
* total moment: 0.0 μB/f.u.
* energy above the lowest structure with this stoichiometry: 0.000 eV/atom
* calculated volume: 29.86 A^3/atom
* calculated total energy: -3.0212 eV/atom

---

No. 15
The following is a DFT calculation (GGA-PBE) of NdSiHg after structural relaxation.

a b c (Å): 8.7290 8.7290 3.9718
angles (deg): 90.00 90.00 151.87
Fractional coordinates of all 6 atoms:
Nd 0.0978 0.9022 0.7500
Nd 0.9022 0.0978 0.2500
Si 0.4605 0.5395 0.7500
Si 0.5395 0.4605 0.2500
Hg 0.2901 0.7099 0.7500
Hg 0.7099 0.2901 0.2500

* ΔE_f (raw): -161 kJ/mol of formula units
* total moment: 0.0 μB/f.u.
* calculated volume: 23.78 A^3/atom
* calculated total energy: -4.0540 eV/atom

---

No. 16
The following is a DFT calculation (GGA-PBE) of CsSrN2O after structural relaxation.

a b c (Å): 5.1583 5.1583 4.7127
angles (deg): 90.00 90.00 90.00
Fractional coordinates of all 5 atoms:
Cs 0.0000 0.0000 0.0000
Sr 0.5000 0.5000 0.5000
N 0.0000 0.5000 0.5000
N 0.5000 0.0000 0.5000
O 0.5000 0.5000 0.0000

* ΔE_f (raw): 282 kJ/mol of formula units
* total moment: 4.4 μB/f.u.
* calculated volume: 25.08 A^3/atom
* calculated total energy: -4.2439 eV/atom

---

No. 17
The following is a DFT calculation (GGA-PBE) of TiBiI2 after structural relaxation.

a b c (Å): 7.7656 7.7656 7.7656
angles (deg): 97.44 97.44 137.83
Fractional coordinates of all 8 atoms:
Ti 0.0000 0.0000 0.0000
Ti 0.7500 0.2500 0.5000
Bi 0.2500 0.7500 0.5000
Bi 0.5000 0.5000 0.0000
I 0.3750 0.2245 0.3495
I 0.7755 0.1250 0.1505
I 0.8750 0.0255 0.6505
I 0.9745 0.6250 0.8495

* ΔE_f (raw): -38 kJ/mol of formula units
* total moment: 1.0 μB/f.u.
* energy above the lowest structure with this stoichiometry: 0.117 eV/atom
* calculated volume: 36.67 A^3/atom
* calculated total energy: -3.8178 eV/atom

---

No. 18
The following is a DFT calculation (GGA-PBE) of TbHgO3 after structural relaxation.

a b c (Å): 7.4443 7.4443 5.8207
angles (deg): 90.00 90.00 151.71
Fractional coordinates of all 10 atoms:
Tb 0.1948 0.8052 0.7500
Tb 0.8052 0.1948 0.2500
Hg 0.4426 0.5574 0.7500
Hg 0.5574 0.4426 0.2500
O 0.0311 0.9689 0.7500
O 0.3228 0.6772 0.0012
O 0.3228 0.6772 0.4988
O 0.6772 0.3228 0.5012
O 0.6772 0.3228 0.9988
O 0.9689 0.0311 0.2500

* ΔE_f (raw): -807 kJ/mol of formula units
* total moment: 1.0 μB/f.u.
* calculated volume: 15.29 A^3/atom
* calculated total energy: -5.6332 eV/atom

---

No. 19
The following is a DFT calculation (GGA-PBE) of YSeBrN2 after structural relaxation.

a b c (Å): 4.5741 4.5741 5.9429
angles (deg): 90.00 90.00 90.00
Fractional coordinates of all 5 atoms:
Y 0.0000 0.0000 0.0000
Se 0.0000 0.0000 0.5000
Br 0.5000 0.5000 0.5000
N 0.0000 0.5000 0.0000
N 0.5000 0.0000 0.0000

* ΔE_f (raw): 385 kJ/mol of formula units
* total moment: 4.0 μB/f.u.
* energy above the lowest structure with this stoichiometry: 0.000 eV/atom
* calculated volume: 24.87 A^3/atom
* calculated total energy: -4.8567 eV/atom

---

No. 20
The following is a DFT calculation (GGA-PBE) of Tl6SbPb3 after structural relaxation.

a b c (Å): 13.0467 3.4657 15.0892
angles (deg): 90.00 112.72 90.00
Fractional coordinates of all 20 atoms:
Tl 0.0308 0.2500 0.1594
Tl 0.1903 0.2500 0.8053
Tl 0.2340 0.2500 0.6008
Tl 0.3306 0.7500 0.2162
Tl 0.3789 0.7500 0.0068
Tl 0.4584 0.7500 0.5803
Tl 0.5416 0.2500 0.4197
Tl 0.6211 0.2500 0.9932
Tl 0.6694 0.2500 0.7838
Tl 0.7660 0.7500 0.3992
Tl 0.8097 0.7500 0.1947
Tl 0.9692 0.7500 0.8406
Sb 0.1664 0.2500 0.0182
Sb 0.8336 0.7500 0.9818
Pb 0.0311 0.7500 0.4076
Pb 0.2550 0.2500 0.3861
Pb 0.4236 0.7500 0.7941
Pb 0.5764 0.2500 0.2059
Pb 0.7450 0.7500 0.6139
Pb 0.9689 0.2500 0.5924

* ΔE_f (raw): 31 kJ/mol of formula units
* total moment: 0.0 μB/f.u.
* energy above the lowest structure with this stoichiometry: 0.000 eV/atom
* calculated volume: 31.47 A^3/atom
* calculated total energy: -2.9123 eV/atom

---

No. 21
The following is a DFT calculation (GGA-PBE) of RbTl2Ni2 after structural relaxation.

a b c (Å): 9.9718 9.9718 9.9718
angles (deg): 159.20 159.20 29.58
Fractional coordinates of all 5 atoms:
Rb 0.0000 0.0000 0.0000
Tl 0.3545 0.3545 0.0000
Tl 0.6455 0.6455 0.0000
Ni 0.2500 0.7500 0.5000
Ni 0.7500 0.2500 0.5000

* total moment: 0.0 μB/f.u.
* energy above the lowest structure with this stoichiometry: 0.000 eV/atom
* calculated volume: 24.99 A^3/atom
* calculated total energy: -3.2922 eV/atom
* formation energy from the elements: 160 meV per atom